(1)
A plane-wave DFT calculation with PBE was carried out for a relaxed structure of AgAs2PbBr.

Results
Total energy: -15.28 eV per formula unit
Energy above the lowest structure with this stoichiometry: 0.00 eV per formula unit
Symmetry: No. 123

Cell lengths 4.9677, 4.9677, 5.7751 Å; angles 90.00, 90.00, 90.00 degrees
Last column: nearest neighbours and their distance in Å.
Fractional coordinates of all 5 atoms:
Ag: 0.0000 0.0000 0.0000  4 As 2.48
As: 0.0000 0.5000 0.0000  2 Ag 2.48
As: 0.5000 0.0000 0.0000  2 Ag 2.48
Pb: 0.5000 0.5000 0.5000  4 Br 3.51, 8 As 3.81
Br: 0.0000 0.0000 0.5000  2 Ag 2.89

***

(2)
A plane-wave DFT calculation with PBE was carried out for a relaxed structure of ThZrTe2.

Results
Total energy: -25.86 eV per formula unit
Energy above the lowest structure with this stoichiometry: 0.00 eV per formula unit
Symmetry: No. 160

Cell lengths 8.7946, 8.7946, 8.7946 Å; angles 25.44, 25.44, 25.44 degrees
Last column: nearest neighbours and their distance in Å.
Fractional coordinates of all 4 atoms:
Th: 0.0000 0.0000 0.0000  6 Te 3.22-3.27
Zr: 0.1647 0.1647 0.1647  6 Te 2.93-2.95
Te: 0.4239 0.4239 0.4239  3 Zr 2.93, 3 Th 3.22
Te: 0.5732 0.5732 0.5732  3 Zr 2.95, 3 Th 3.27

***

(3)
A plane-wave DFT calculation with PBE was carried out for a relaxed structure of Sm3ZnIn.

Results
Total energy: -19.60 eV per formula unit
Energy above the lowest structure with this stoichiometry: 0.00 eV per formula unit
Symmetry: No. 63
Formation energy: -0.29 eV per atom

Cell lengths 10.4124, 10.4124, 5.2880 Å; angles 90.00, 90.00, 150.57 degrees
Last column: nearest neighbours and their distance in Å.
Fractional coordinates of all 10 atoms:
Sm: 0.0624 0.9376 0.7500  2 Zn 3.23, 2 In 3.25
Sm: 0.2493 0.7507 0.7500  4 In 3.24-3.25, 4 Zn 3.27-3.28
Sm: 0.4359 0.5641 0.7500  2 Zn 3.21, 2 In 3.24
Sm: 0.5641 0.4359 0.2500  2 Zn 3.21, 2 In 3.24
Sm: 0.7507 0.2493 0.2500  4 In 3.24-3.25, 4 Zn 3.27-3.28
Sm: 0.9376 0.0624 0.2500  2 Zn 3.23, 2 In 3.25
Zn: 0.3458 0.6542 0.2500  8 Sm 3.21-3.28
Zn: 0.6542 0.3458 0.7500  8 Sm 3.21-3.28
In: 0.1566 0.8434 0.2500  8 Sm 3.24-3.25
In: 0.8434 0.1566 0.7500  8 Sm 3.24-3.25

***

(4)
A plane-wave DFT calculation with PBE was carried out for a relaxed structure of Ti6Sn2Sb.

Results
Total energy: -62.44 eV per formula unit
Symmetry: No. 189

Cell lengths 7.3588, 7.3588, 3.6688 Å; angles 90.00, 90.00, 120.00 degrees
Last column: nearest neighbours and their distance in Å.
Fractional coordinates of all 9 atoms:
Ti: 0.0000 0.2633 0.0000  2 Sb 2.67, 2 Sn 2.75
Ti: 0.0000 0.6040 0.5000  4 Sn 2.91, 1 Sb 2.91, 6 Ti 3.11-3.16
Ti: 0.2633 0.0000 0.0000  2 Sb 2.67, 2 Sn 2.75
Ti: 0.3960 0.3960 0.5000  4 Sn 2.91, 1 Sb 2.91, 6 Ti 3.11-3.16
Ti: 0.6040 0.0000 0.5000  4 Sn 2.91, 1 Sb 2.91, 6 Ti 3.11-3.16
Ti: 0.7367 0.7367 0.0000  2 Sb 2.67, 2 Sn 2.75
Sn: 0.3333 0.6667 0.0000  9 Ti 2.75-2.91
Sn: 0.6667 0.3333 0.0000  9 Ti 2.75-2.91
Sb: 0.0000 0.0000 0.5000  9 Ti 2.67-2.91

***

(5)
A plane-wave DFT calculation with PBE was carried out for a relaxed structure of Y5Mg.

Results
Total energy: -31.21 eV per formula unit
Energy above the lowest structure with this stoichiometry: 2.80 eV per formula unit
Symmetry: No. 191
Formation energy: 0.45 eV per atom

Cell lengths 6.4985, 6.4985, 5.7549 Å; angles 90.00, 90.00, 120.00 degrees
Last column: nearest neighbours and their distance in Å.
Fractional coordinates of all 6 atoms:
Y: 0.0000 0.5000 0.0000  8 Y 3.25-3.43
Y: 0.3333 0.6667 0.5000  9 Y 3.43-3.75, 3 Mg 3.75
Y: 0.5000 0.0000 0.0000  8 Y 3.25-3.43
Y: 0.5000 0.5000 0.0000  8 Y 3.25-3.43
Y: 0.6667 0.3333 0.5000  9 Y 3.43-3.75, 3 Mg 3.75
Mg: 0.0000 0.0000 0.5000  6 Y 3.75

***

(6)
A plane-wave DFT calculation with PBE was carried out for a relaxed structure of Ti2Mo.

Results
Total energy: -26.83 eV per formula unit
Energy above the lowest structure with this stoichiometry: 0.00 eV per formula unit
Symmetry: No. 12
Formation energy: -0.07 eV per atom

Cell lengths 3.2216, 3.2216, 5.1318 Å; angles 105.38, 105.38, 90.02 degrees
Last column: nearest neighbours and their distance in Å.
Fractional coordinates of all 3 atoms:
Ti: 0.1674 0.1674 0.3082  4 Mo 2.57-2.85
Ti: 0.8326 0.8326 0.6918  4 Mo 2.57-2.85
Mo: 0.5000 0.5000 0.0000  8 Ti 2.57-2.85

***

(7)
A plane-wave DFT calculation with PBE was carried out for a relaxed structure of Al2AsRu.

Results
Total energy: -21.95 eV per formula unit
Symmetry: No. 160
Formation energy: -0.13 eV per atom

Cell lengths 8.1630, 8.1630, 8.1630 Å; angles 21.62, 21.62, 21.62 degrees
Last column: nearest neighbours and their distance in Å.
Fractional coordinates of all 4 atoms:
Al: 0.0000 0.0000 0.0000  3 As 2.77, 9 Al 2.82-3.06
Al: 0.2417 0.2417 0.2417  3 Ru 2.60, 3 Al 2.82
As: 0.7557 0.7557 0.7557  3 Ru 2.49, 3 Al 2.77
Ru: 0.4954 0.4954 0.4954  3 As 2.49, 3 Al 2.60

***

(8)
A plane-wave DFT calculation with PBE was carried out for a relaxed structure of SrPmAu2.

Results
Total energy: -15.77 eV per formula unit
Energy above the lowest structure with this stoichiometry: 0.31 eV per formula unit
Symmetry: No. 166
Formation energy: -0.70 eV per atom

Cell lengths 7.7350, 7.7350, 7.7350 Å; angles 32.95, 32.95, 32.95 degrees
Last column: nearest neighbours and their distance in Å.
Fractional coordinates of all 4 atoms:
Sr: 0.0000 0.0000 0.0000  6 Au 3.22
Pm: 0.5000 0.5000 0.5000  6 Au 3.03
Au: 0.2423 0.2423 0.2423  3 Pm 3.03, 3 Sr 3.22
Au: 0.7577 0.7577 0.7577  3 Pm 3.03, 3 Sr 3.22

***

(9)
A plane-wave DFT calculation with PBE was carried out for a relaxed structure of BaNi2S.

Results
Total energy: -20.05 eV per formula unit
Symmetry: No. 141

Cell lengths 7.9003, 7.9003, 7.9003 Å; angles 143.75, 143.75, 52.21 degrees
Last column: nearest neighbours and their distance in Å.
Fractional coordinates of all 8 atoms:
Ba: 0.3750 0.6250 0.7500  8 Ni 3.27, 4 S 3.48
Ba: 0.6250 0.3750 0.2500  8 Ni 3.27, 4 S 3.48
Ni: 0.0000 0.0000 0.0000  2 S 2.16
Ni: 0.0000 0.0000 0.5000  2 S 2.16
Ni: 0.0000 0.5000 0.0000  2 S 2.16
Ni: 0.5000 0.0000 0.5000  2 S 2.16
S: 0.1250 0.8750 0.2500  4 Ni 2.16
S: 0.8750 0.1250 0.7500  4 Ni 2.16

***

(10)
A plane-wave DFT calculation with PBE was carried out for a relaxed structure of Li6InHg12.

Results
Total energy: -21.91 eV per formula unit
Symmetry: No. 148
Formation energy: -0.21 eV per atom

Cell lengths 7.4646, 7.4646, 7.4646 Å; angles 91.66, 91.66, 91.66 degrees
Last column: nearest neighbours and their distance in Å.
Fractional coordinates of all 19 atoms:
Li: 0.2182 0.7768 0.3841  7 Hg 2.88-3.13, 1 In 3.11
Li: 0.2232 0.6159 0.7818  7 Hg 2.88-3.13, 1 In 3.11
Li: 0.3841 0.2182 0.7768  7 Hg 2.88-3.13, 1 In 3.11
Li: 0.6159 0.7818 0.2232  7 Hg 2.88-3.13, 1 In 3.11
Li: 0.7768 0.3841 0.2182  7 Hg 2.88-3.13, 1 In 3.11
Li: 0.7818 0.2232 0.6159  7 Hg 2.88-3.13, 1 In 3.11
In: 0.5000 0.5000 0.5000  6 Hg 2.97, 6 Li 3.11
Hg: 0.0498 0.2971 0.9414  4 Li 2.88-3.13, 3 Hg 2.96-3.10
Hg: 0.0586 0.9502 0.7029  4 Li 2.88-3.13, 3 Hg 2.96-3.10
Hg: 0.1277 0.3491 0.5015  3 Li 2.88-2.97, 2 Hg 2.96-2.99, 1 In 2.97
Hg: 0.2971 0.9414 0.0498  4 Li 2.88-3.13, 3 Hg 2.96-3.10
Hg: 0.3491 0.5015 0.1277  3 Li 2.88-2.97, 2 Hg 2.96-2.99, 1 In 2.97
Hg: 0.4985 0.8723 0.6509  3 Li 2.88-2.97, 2 Hg 2.96-2.99, 1 In 2.97
Hg: 0.5015 0.1277 0.3491  3 Li 2.88-2.97, 2 Hg 2.96-2.99, 1 In 2.97
Hg: 0.6509 0.4985 0.8723  3 Li 2.88-2.97, 2 Hg 2.96-2.99, 1 In 2.97
Hg: 0.7029 0.0586 0.9502  4 Li 2.88-3.13, 3 Hg 2.96-3.10
Hg: 0.8723 0.6509 0.4985  3 Li 2.88-2.97, 2 Hg 2.96-2.99, 1 In 2.97
Hg: 0.9414 0.0498 0.2971  4 Li 2.88-3.13, 3 Hg 2.96-3.10
Hg: 0.9502 0.7029 0.0586  4 Li 2.88-3.13, 3 Hg 2.96-3.10

***

(11)
A plane-wave DFT calculation with PBE was carried out for a relaxed structure of SiTcIO2.

Results
Total energy: -27.95 eV per formula unit
Energy above the lowest structure with this stoichiometry: 0.00 eV per formula unit
Symmetry: No. 123

Cell lengths 3.8723, 3.8723, 6.1607 Å; angles 90.00, 90.00, 90.00 degrees
Last column: nearest neighbours and their distance in Å.
Fractional coordinates of all 5 atoms:
Si: 0.0000 0.0000 0.0000  4 I 2.74
Tc: 0.5000 0.5000 0.5000  4 O 1.94
I: 0.5000 0.5000 0.0000  4 Si 2.74
O: 0.0000 0.5000 0.5000  2 Tc 1.94
O: 0.5000 0.0000 0.5000  2 Tc 1.94

***

(12)
A plane-wave DFT calculation with PBE was carried out for a relaxed structure of VCrAs2.

Results
Total energy: -28.46 eV per formula unit
Energy above the lowest structure with this stoichiometry: 0.93 eV per formula unit
Symmetry: No. 166
Formation energy: -0.10 eV per atom

Cell lengths 6.4338, 6.4338, 6.4338 Å; angles 32.19, 32.19, 32.19 degrees
Last column: nearest neighbours and their distance in Å.
Fractional coordinates of all 4 atoms:
V: 0.0000 0.0000 0.0000  6 As 2.57
Cr: 0.5000 0.5000 0.5000  6 As 2.55
As: 0.2489 0.2489 0.2489  3 Cr 2.55, 3 V 2.57
As: 0.7511 0.7511 0.7511  3 Cr 2.55, 3 V 2.57

***

Number 1: size of the total moment 1.07 μB/f.u.. Number 2: size of the total moment 0.00 μB/f.u.. Number 3: size of the total moment 0.80 μB/f.u.. Number 4: size of the total moment 0.00 μB/f.u.. Number 5: size of the total moment 0.00 μB/f.u.. Number 6: size of the total moment 0.00 μB/f.u.. Number 7: size of the total moment 0.00 μB/f.u.. Number 8: size of the total moment 0.00 μB/f.u.. Number 9: size of the total moment 0.00 μB/f.u.. Number 10: size of the total moment 0.00 μB/f.u.. Number 11: size of the total moment 0.81 μB/f.u.. Number 12: size of the total moment 4.69 μB/f.u..